# AlFe2Co

A PBEsol-optimized structure of AlFe2Co (SCAN, the Alexandria database).

Geometry as CIF:
```
data_AlFe2Co
_chemical_formula_sum 'Al1 Fe2 Co1'
_cell_length_a 3.492
_cell_length_b 3.492
_cell_length_c 3.740
_cell_angle_alpha 90.00
_cell_angle_beta 90.00
_cell_angle_gamma 90.00
_symmetry_space_group_name_H-M 'P 4/m m m'
_symmetry_Int_Tables_number 123
_symmetry_space_group_name_Hall '-P 4 2'
loop_
_atom_site_label
_atom_site_fract_x
_atom_site_fract_y
_atom_site_fract_z
Al1 0.000 0.000 0.000
Fe1 0.000 0.500 0.500
Co1 0.500 0.500 0.000
```

Calculated values
energy of formation from the pure elements: -1.00 eV per formula unit
magnetic moment: 6.3 μB/cell



# Na2B4O7

A PBEsol-optimized structure of Na2B4O7 (SCAN, the Alexandria database).

Geometry as CIF:
```
data_Na2B4O7
_chemical_formula_sum 'Na12 B24 O42'
_cell_length_a 6.747
_cell_length_b 9.649
_cell_length_c 13.321
_cell_angle_alpha 104.30
_cell_angle_beta 91.87
_cell_angle_gamma 106.30
_symmetry_space_group_name_H-M 'P -1'
_symmetry_Int_Tables_number 2
loop_
_symmetry_equiv_pos_as_xyz
'x,y,z'
'-x,-y,-z'
loop_
_atom_site_label
_atom_site_fract_x
_atom_site_fract_y
_atom_site_fract_z
Na1 0.047 0.354 0.387
Na2 0.081 0.326 0.875
Na3 0.171 0.900 0.530
Na4 0.206 0.905 0.024
Na5 0.366 0.594 0.201
Na6 0.429 0.608 0.701
B1 0.043 0.620 0.332
B2 0.078 0.627 0.827
B3 0.196 0.897 0.302
B4 0.197 0.251 0.078
B5 0.203 0.097 0.219
B6 0.258 0.901 0.800
B7 0.264 0.281 0.597
B8 0.269 0.109 0.724
B9 0.319 0.166 0.411
B10 0.368 0.163 0.916
B11 0.378 0.683 0.456
B12 0.420 0.653 0.924
O1 0.032 0.320 0.089
O2 0.061 0.484 0.260
O3 0.145 0.745 0.283
O4 0.159 0.125 0.128
O5 0.164 0.644 0.435
O6 0.168 0.388 0.652
O7 0.171 0.944 0.212
O8 0.195 0.190 0.967
O9 0.195 0.230 0.485
O10 0.203 0.749 0.780
O11 0.212 0.955 0.716
O12 0.222 0.142 0.635
O13 0.232 0.565 0.869
O14 0.269 0.000 0.395
O15 0.277 0.202 0.312
O16 0.359 0.001 0.891
O17 0.363 0.210 0.816
O18 0.406 0.360 0.124
O19 0.430 0.747 0.022
O20 0.456 0.767 0.556
O21 0.496 0.358 0.618
```

Calculated values
formation energy from raw total energies: -3222 kJ/mol of formula units
magnetic moment: 0.0 μB/cell



# Pr2TlIn

A PBEsol-optimized structure of Pr2TlIn (SCAN, the Alexandria database).

Geometry as CIF:
```
data_Pr2TlIn
_chemical_formula_sum 'Pr8 Tl4 In4'
_cell_length_a 7.701
_cell_length_b 7.701
_cell_length_c 7.701
_cell_angle_alpha 90.00
_cell_angle_beta 90.00
_cell_angle_gamma 90.00
_symmetry_space_group_name_H-M 'F m -3 m'
_symmetry_Int_Tables_number 225
_symmetry_space_group_name_Hall '-F 4 2 3'
loop_
_atom_site_label
_atom_site_fract_x
_atom_site_fract_y
_atom_site_fract_z
Pr1 0.250 0.250 0.250
Tl1 0.000 0.000 0.000
In1 0.000 0.000 0.500
```

Calculated values
energy of formation from the pure elements: -2.53 eV per formula unit
magnetic moment: 0.0 μB/cell



# CoSb2As

A PBEsol-optimized structure of CoSb2As (SCAN, the Alexandria database).

Geometry as CIF:
```
data_CoSb2As
_chemical_formula_sum 'Co2 Sb4 As2'
_cell_length_a 4.517
_cell_length_b 4.517
_cell_length_c 7.512
_cell_angle_alpha 90.00
_cell_angle_beta 90.00
_cell_angle_gamma 90.00
_symmetry_space_group_name_H-M 'I 4/m m m'
_symmetry_Int_Tables_number 139
_symmetry_space_group_name_Hall '-I 4 2'
loop_
_atom_site_label
_atom_site_fract_x
_atom_site_fract_y
_atom_site_fract_z
Co1 0.000 0.000 0.000
Sb1 0.000 0.500 0.250
As1 0.000 0.000 0.500
```

Calculated values
formation energy from raw total energies: 235 kJ/mol of formula units
magnetic moment: 3.0 μB/cell



# AgGeTe2N

A PBEsol-optimized structure of AgGeTe2N (SCAN, the Alexandria database).

Geometry as CIF:
```
data_AgGeTe2N
_chemical_formula_sum 'Ag1 Ge1 Te2 N1'
_cell_length_a 5.653
_cell_length_b 5.653
_cell_length_c 3.425
_cell_angle_alpha 90.00
_cell_angle_beta 90.00
_cell_angle_gamma 90.00
_symmetry_space_group_name_H-M 'P 4/m m m'
_symmetry_Int_Tables_number 123
_symmetry_space_group_name_Hall '-P 4 2'
loop_
_atom_site_label
_atom_site_fract_x
_atom_site_fract_y
_atom_site_fract_z
Ag1 0.000 0.000 0.000
Ge1 0.500 0.500 0.500
Te1 0.000 0.500 0.500
N1 0.500 0.500 0.000
```

Calculated values
formation energy from raw total energies: 323 kJ/mol of formula units
magnetic moment: 0.0 μB/cell



# Rb2TlSbBr6

A PBEsol-optimized structure of Rb2TlSbBr6 (SCAN, the Alexandria database).

Geometry as CIF:
```
data_Rb2TlSbBr6
_chemical_formula_sum 'Rb8 Tl4 Sb4 Br24'
_cell_length_a 11.609
_cell_length_b 11.609
_cell_length_c 11.609
_cell_angle_alpha 90.00
_cell_angle_beta 90.00
_cell_angle_gamma 90.00
_symmetry_space_group_name_H-M 'F m -3 m'
_symmetry_Int_Tables_number 225
_symmetry_space_group_name_Hall '-F 4 2 3'
loop_
_atom_site_label
_atom_site_fract_x
_atom_site_fract_y
_atom_site_fract_z
Rb1 0.250 0.250 0.250
Tl1 0.000 0.000 0.000
Sb1 0.000 0.000 0.500
Br1 0.000 0.000 0.261
```

Calculated values
formation energy from raw total energies: -1151 kJ/mol of formula units
magnetic moment: 0.0 μB/cell



# Co2Ge

A PBEsol-optimized structure of Co2Ge (SCAN, the Alexandria database).

Geometry as CIF:
```
data_Co2Ge
_chemical_formula_sum 'Co8 Ge4'
_cell_length_a 4.945
_cell_length_b 3.764
_cell_length_c 7.125
_cell_angle_alpha 90.00
_cell_angle_beta 90.00
_cell_angle_gamma 90.00
_symmetry_space_group_name_H-M 'P n m a'
_symmetry_Int_Tables_number 62
loop_
_symmetry_equiv_pos_as_xyz
'x,y,z'
'-x,-y,-z'
'-x+1/2,-y,z+1/2'
'x+1/2,y,-z+1/2'
'x+1/2,-y+1/2,-z+1/2'
'-x+1/2,y+1/2,z+1/2'
'-x,y+1/2,-z'
'x,-y+1/2,z'
loop_
_atom_site_label
_atom_site_fract_x
_atom_site_fract_y
_atom_site_fract_z
Co1 0.039 0.250 0.222
Co2 0.174 0.250 0.565
Ge1 0.201 0.250 0.895
```

Calculated values
energy of formation from the pure elements: -0.19 eV per formula unit
magnetic moment: 6.4 μB/cell



# LiScPt2

A PBEsol-optimized structure of LiScPt2 (SCAN, the Alexandria database).

Geometry as CIF:
```
data_LiScPt2
_chemical_formula_sum 'Li4 Sc4 Pt8'
_cell_length_a 6.246
_cell_length_b 6.246
_cell_length_c 6.246
_cell_angle_alpha 90.00
_cell_angle_beta 90.00
_cell_angle_gamma 90.00
_symmetry_space_group_name_H-M 'F m -3 m'
_symmetry_Int_Tables_number 225
_symmetry_space_group_name_Hall '-F 4 2 3'
loop_
_atom_site_label
_atom_site_fract_x
_atom_site_fract_y
_atom_site_fract_z
Li1 0.000 0.000 0.000
Sc1 0.000 0.000 0.500
Pt1 0.250 0.250 0.250
```

Calculated values
energy of formation from the pure elements: -4.46 eV per formula unit
magnetic moment: 0.0 μB/cell



# Mg2MoPb

A PBEsol-optimized structure of Mg2MoPb (SCAN, the Alexandria database).

Geometry as CIF:
```
data_Mg2MoPb
_chemical_formula_sum 'Mg6 Mo3 Pb3'
_cell_length_a 3.1083
_cell_length_b 3.1083
_cell_length_c 29.6058
_cell_angle_alpha 90.00
_cell_angle_beta 90.00
_cell_angle_gamma 120.00
_symmetry_space_group_name_H-M 'R -3 m'
_symmetry_Int_Tables_number 166
_symmetry_space_group_name_Hall '-R 3 2"'
loop_
_atom_site_label
_atom_site_fract_x
_atom_site_fract_y
_atom_site_fract_z
Mg1 0.0000 0.0000 0.2418
Mo1 0.0000 0.0000 0.5000
Pb1 0.0000 0.0000 0.0000
```

Calculated values
energy of formation from the pure elements: 1.48 eV per formula unit
magnetic moment: 0.0 μB/cell



# YTaOs

A PBEsol-optimized structure of YTaOs (SCAN, the Alexandria database).

Geometry as CIF:
```
data_YTaOs
_chemical_formula_sum 'Y2 Ta2 Os2'
_cell_length_a 3.223
_cell_length_b 3.223
_cell_length_c 11.007
_cell_angle_alpha 90.00
_cell_angle_beta 90.00
_cell_angle_gamma 90.00
_symmetry_space_group_name_H-M 'I 4 m m'
_symmetry_Int_Tables_number 107
_symmetry_space_group_name_Hall 'I 4 -2'
loop_
_atom_site_label
_atom_site_fract_x
_atom_site_fract_y
_atom_site_fract_z
Y1 0.000 0.000 0.000
Ta1 0.000 0.000 0.304
Os1 0.000 0.000 0.679
```

Calculated values
energy of formation from the pure elements: -0.39 eV per formula unit
magnetic moment: 0.0 μB/cell



# CaTeSe

A PBEsol-optimized structure of CaTeSe (SCAN, the Alexandria database).

Geometry as CIF:
```
data_CaTeSe
_chemical_formula_sum 'Ca2 Te2 Se2'
_cell_length_a 4.017
_cell_length_b 4.017
_cell_length_c 10.411
_cell_angle_alpha 90.00
_cell_angle_beta 90.00
_cell_angle_gamma 90.00
_symmetry_space_group_name_H-M 'I 4 m m'
_symmetry_Int_Tables_number 107
_symmetry_space_group_name_Hall 'I 4 -2'
loop_
_atom_site_label
_atom_site_fract_x
_atom_site_fract_y
_atom_site_fract_z
Ca1 0.000 0.000 0.000
Te1 0.000 0.000 0.648
Se1 0.000 0.000 0.393
```

Calculated values
formation energy from raw total energies: -333 kJ/mol of formula units
magnetic moment: 0.0 μB/cell



# CdIBr3

A PBEsol-optimized structure of CdIBr3 (SCAN, the Alexandria database).

Geometry as CIF:
```
data_CdIBr3
_chemical_formula_sum 'Cd1 I1 Br3'
_cell_length_a 5.663
_cell_length_b 5.663
_cell_length_c 5.663
_cell_angle_alpha 90.00
_cell_angle_beta 90.00
_cell_angle_gamma 90.00
_symmetry_space_group_name_H-M 'P m -3 m'
_symmetry_Int_Tables_number 221
_symmetry_space_group_name_Hall '-P 4 2 3'
loop_
_atom_site_label
_atom_site_fract_x
_atom_site_fract_y
_atom_site_fract_z
Cd1 0.000 0.000 0.000
I1 0.500 0.500 0.500
Br1 0.000 0.500 0.500
```

Calculated values
formation energy from raw total energies: 76 kJ/mol of formula units
magnetic moment: 0.5 μB/cell